Compound: Rb2SmWO6
Source: Alexandria
Functional: PBE+U
Structure: relaxed

Summary:
crystal system	trigonal
energy	-130.3	eV/cell
ρ	5.55	g cm⁻³

a = 10.913 Å, b = 10.913 Å, c = 10.913 Å
α = 33.86°, β = 33.86°, γ = 33.86°
Atoms (fractional coordinates):
1 Rb 0.133 0.133 0.133
2 Rb 0.270 0.270 0.270
3 Rb 0.730 0.730 0.730
4 Rb 0.867 0.867 0.867
5 Sm 0.400 0.400 0.400
6 Sm 0.600 0.600 0.600
7 W 0.000 0.000 0.000
8 W 0.500 0.500 0.500
9 O 0.181 0.601 0.601
10 O 0.182 0.182 0.745
11 O 0.182 0.745 0.182
12 O 0.255 0.818 0.818
13 O 0.399 0.399 0.819
14 O 0.399 0.819 0.399
15 O 0.601 0.181 0.601
16 O 0.601 0.601 0.181
17 O 0.745 0.182 0.182
18 O 0.818 0.255 0.818
19 O 0.818 0.818 0.255
20 O 0.819 0.399 0.399